Computed, not measured: a relaxed SiMo2P crystal at the PBE level of DFT.

Unit cell a=3.3513 b=3.6159 c=4.8055 alpha=90.00 beta=90.00 gamma=90.00
Last column: nearest neighbours and their distance in Å.
Space group Pmmm (No. 47)
Inequivalent atoms, fractional coordinates:
Si1 0.0000 0.0000 0.0000 [1 per cell]  4 Mo 2.47
Mo1 0.0000 0.5000 0.5000 [1 per cell]  4 P 2.47
Mo2 0.5000 0.5000 0.0000 [1 per cell]  4 Si 2.47
P1 0.5000 0.0000 0.5000 [1 per cell]  4 Mo 2.47

Calculated values
The polymorph energy (0 for the lowest one) is 484 meV per atom. The uncorrected formation energy is 0.015 eV per atom. The total DFT energy (no corrections) is -8.109 eV/atom. The value obtained for the total magnetization is 0.00 μB per cell.